KLi2ZnCu | the Alexandria database | GGA-PBEsol | optimized geometry; final energy = -1.12 eV per atom; SG = No. 123; total magnetization = 0.0 μB/f.u.; ΔH_f (0 K) = 5.40 eV/f.u.
1.0
-4.875 0.602 -1.113
-1.254 -1.969 4.428
0.094 4.563 2.056
K Li Cu Zn
1 2 1 1
direct
0.000 0.000 0.000
0.000 0.000 0.500
0.000 0.500 0.000
0.500 0.000 0.000
0.500 0.500 0.500